DFT (SCAN) results for a crystal of RhPb5 relaxed with PBEsol.

abc: 3.3870 3.3870 13.4617
angles: 90.00 90.00 90.00
Space group P4/mmm (No. 123)
Inequivalent atoms, fractional coordinates:
Rh (0.0000, 0.0000, 0.0000) x1
Pb (0.0000, 0.0000, 0.3150) x2
Pb (0.5000, 0.5000, 0.1216) x2
Pb (0.5000, 0.5000, 0.5000) x1

Results
The value obtained for the magnetic moment is 0.00 μB/f.u. The calculated formation energy is 0.22 eV/f.u. Its theoretical density is 12.25 Mg/m³. The calculation puts the density of states at the Fermi level at 4.43 states/eV/f.u.